[1]
The following is a DFT calculation (PBE-GGA) of TbBiPd after structural relaxation.

a b c (Å): 5.2123 5.2121 11.6531
angles (deg): 90.00 90.03 90.00
Closest atoms and distances in Å follow each position.
Space group C2/m (No. 12)
One atom of each set of equivalent atoms:
Tb: 0.2492 0.0000 0.3187 x4  5 Pd 2.89-2.93
Bi: 0.2492 0.5000 0.1381 x4  4 Tb 3.35, 1 Pd 3.44, 4 Bi 3.69
Pd: 0.2494 0.5000 0.4334 x4  5 Tb 2.89-2.93, 4 Pd 3.03-3.04

Values from the calculation:
The uncorrected energy comes out at -5.1895 eV/atom. The value obtained for the formation enthalpy at 0 K is -0.62 eV per atom. The calculation puts the density of states at the Fermi level at 4.64 states/eV/cell.



[2]
The following is a DFT calculation (PBE-GGA) of Tb4BiPd after structural relaxation.

a b c (Å): 6.1788 6.6997 8.8964
angles (deg): 90.00 110.35 90.00
Closest atoms and distances in Å follow each position.
Space group P2_1/m (No. 11)
One atom of each set of equivalent atoms:
Tb: 0.0067 0.0011 0.2101 x4  2 Pd 2.86-2.95
Tb: 0.3940 0.2500 0.6168 x2  1 Pd 2.89
Tb: 0.4274 0.2500 0.0912 x2  1 Pd 2.78
Bi: 0.2125 0.7500 0.5486 x2  9 Tb 3.20-3.52
Pd: 0.2559 0.7500 0.0669 x2  6 Tb 2.78-2.95

Values from the calculation:
The uncorrected energy comes out at -5.1632 eV/atom. The value obtained for the formation enthalpy at 0 K is -0.56 eV per atom. The calculation puts the density of states at the Fermi level at 11.03 states/eV/cell. The relative energy among the computed polymorphs is 0 meV per atom.



[3]
The following is a DFT calculation (PBE-GGA) of Tc2BiPd after structural relaxation.

a b c (Å): 5.9868 5.9868 11.3616
angles (deg): 90.00 90.00 90.00
Closest atoms and distances in Å follow each position.
Space group I-42d (No. 122)
One atom of each set of equivalent atoms:
Tc: 0.2100 0.2500 0.1250 x8  2 Pd 2.42, 2 Bi 2.70
Bi: 0.0000 0.0000 0.5000 x4  4 Tc 2.70
Pd: 0.0000 0.0000 0.0000 x4  4 Tc 2.42

Values from the calculation:
The uncorrected energy comes out at -5.9734 eV/atom. The value obtained for the formation enthalpy at 0 K is 1.48 eV per atom. The calculation puts the density of states at the Fermi level at 21.92 states/eV/cell.